# 1
This record from Alexandria via LeMat-Bulk describes a relaxed Y2CdSe4 crystal. The functional is GGA-PBEsol.

The structure belongs to space group Fd-3m (No. 227, origin choice 2); the cell edges are 11.616, 11.616 and 11.616 Å and the angles 90.00°, 90.00° and 90.00°. The asymmetric unit holds Y at (0.000, 0.000, 0.000), Cd at (0.125, 0.125, 0.625) and Se at (0.006, 0.006, 0.244).

The uncorrected formation energy is -1.504 eV per atom. The crystal system is cubic. The volume is 1567 Å³ per cell.



# 2
This record from Alexandria via LeMat-Bulk describes a relaxed ZnCdSe2 crystal. The functional is GGA-PBEsol.

The structure belongs to space group P-4m2 (No. 115); the cell edges are 4.119, 4.119 and 5.919 Å and the angles 90.00°, 90.00° and 90.00°. The asymmetric unit holds Zn at (0.000, 0.000, 0.000), Cd at (0.500, 0.500, 0.500) and Se at (0.000, 0.500, 0.774).

The uncorrected formation energy is -0.605 eV per atom. The crystal system is tetragonal. The volume is 100 Å³ per cell.



# 3
This record from Alexandria via LeMat-Bulk describes a relaxed ZnCdSe4 crystal. The functional is GGA-PBEsol.

The structure belongs to space group F-43m (No. 216); the cell edges are 8.042, 8.042 and 8.042 Å and the angles 90.00°, 90.00° and 90.00°. The asymmetric unit holds Zn at (0.000, 0.000, 0.000), Cd at (0.250, 0.250, 0.750) and Se at (0.126, 0.126, 0.374).

The uncorrected formation energy is 0.439 eV per atom. The crystal system is cubic. The volume is 520 Å³ per cell.



# 4
This record from Alexandria via LeMat-Bulk describes a relaxed ZnCdSe2 crystal. The functional is GGA-PBEsol.

The structure belongs to space group R3m (No. 160, hexagonal axes); the cell edges are 4.1292, 4.1292 and 20.4441 Å and the angles 90.00°, 90.00° and 120.00°. The asymmetric unit holds Zn at (0.0000, 0.0000, 0.0000), Cd at (0.0000, 0.0000, 0.4974), Se at (0.0000, 0.0000, 0.3690) and Se at (0.0000, 0.0000, 0.8810).

The uncorrected formation energy is -0.593 eV per atom. The crystal system is trigonal. The volume is 302 Å³ per cell.